{
  "formula": "Ho2Sc5Al4",
  "functional": "GGA-PBE",
  "state": "optimized geometry",
  "cell": [[9.0226, 0.0000, 0.0000], [0.0000, 3.1098, 0.0000], [-4.3497, 0.0000, 8.6947]],
  "species": ["Ho", "Ho", "Sc", "Sc", "Sc", "Sc", "Sc", "Al", "Al", "Al", "Al"],
  "fractional_positions": [[0.1584, 0.0000, 0.1774], [0.8416, 0.0000, 0.8226], [0.0826, 0.0000, 0.6689], [0.4588, 0.0000, 0.8151], [0.5000, 0.0000, 0.5000], [0.5412, 0.0000, 0.1849], [0.9174, 0.0000, 0.3311], [0.2303, 0.5000, 0.5011], [0.2522, 0.5000, 0.9503], [0.7478, 0.5000, 0.0497], [0.7697, 0.5000, 0.4989]],
  "ef_kcal_per_mol_atoms": -5.2,
  "dos_ef_per_ev_atom": 1.15,
  "space_group": "P2/m (10)",
  "volume_a3_per_atom": 22.178,
  "dft_energy_ev_per_cell": -58.27
}